No. 1
NiSb2Cl, optimized geometry, DFT GGA-PBE; DFT total energy = -4.073 eV per atom; energy relative to the elements, uncorrected = -105 meV per atom; energy relative to the lowest polymorph listed for this composition = 0.1970 eV per atom; space-group type = Cm
1.0
7.689 -1.647 0.000
7.689 1.647 0.000
-0.888 0.000 3.855
Ni Sb Cl
1 2 1
direct
0.000 0.000 0.000
0.370 0.370 0.886
0.546 0.546 0.541
0.759 0.759 0.293

***

No. 2
Tb14TmHf, optimized geometry, DFT GGA-PBE; DFT total energy = -4.905 eV per atom; formation energy from the elements = 48 meV/atom; space-group type = P4/mmm
1.0
7.057 0.000 0.000
0.000 7.057 0.000
0.000 0.000 9.951
Tb Tm Hf
14 1 1
direct
0.000 0.000 0.000
0.000 0.500 0.000
0.000 0.500 0.500
0.245 0.245 0.256
0.245 0.245 0.744
0.245 0.755 0.256
0.245 0.755 0.744
0.500 0.000 0.000
0.500 0.000 0.500
0.500 0.500 0.000
0.755 0.245 0.256
0.755 0.245 0.744
0.755 0.755 0.256
0.755 0.755 0.744
0.500 0.500 0.500
0.000 0.000 0.500

***

No. 3
ScZn2Ni, optimized geometry, DFT GGA-PBE; DFT total energy = -3.923 eV per atom; formation energy from the elements = -257 meV/atom; space-group type = Amm2
1.0
3.885 0.000 0.000
0.000 1.552 5.266
0.000 -1.552 5.266
Sc Zn Ni
1 2 1
direct
0.000 0.000 0.000
0.000 0.267 0.267
0.500 0.667 0.667
0.500 0.409 0.409

***

No. 4
HfV2Ni2, optimized geometry, DFT GGA-PBE; DFT total energy = -8.029 eV per atom; energy relative to the lowest polymorph listed for this composition = 0.0000 eV per atom; formation energy from the elements = -78 meV/atom; space-group type = I4/mmm
1.0
-1.755 1.755 5.863
1.755 -1.755 5.863
1.755 1.755 -5.863
Hf V Ni
1 2 2
direct
0.000 0.000 0.000
0.250 0.750 0.500
0.750 0.250 0.500
0.401 0.401 0.000
0.599 0.599 0.000

***

No. 5
ZnSi2Hg2, optimized geometry, DFT GGA-PBE; DFT total energy = -2.286 eV per atom; energy relative to the elements, uncorrected = 259 meV per atom; energy relative to the lowest polymorph listed for this composition = 0.0000 eV per atom; space-group type = P4/mbm
1.0
6.341 0.000 0.000
0.000 6.341 0.000
0.000 0.000 5.295
Zn Si Hg
2 4 4
direct
0.000 0.000 0.000
0.500 0.500 0.000
0.135 0.365 0.000
0.365 0.865 0.000
0.635 0.135 0.000
0.865 0.635 0.000
0.179 0.321 0.500
0.321 0.821 0.500
0.679 0.179 0.500
0.821 0.679 0.500

***

No. 6
ReAg2Hg, optimized geometry, DFT GGA-PBE; DFT total energy = -3.966 eV per atom; formation energy from the elements = 647 meV/atom; space-group type = C2/m
1.0
2.877 -5.007 0.000
2.877 5.007 0.000
-1.147 0.000 2.468
Re Ag Hg
1 2 1
direct
0.000 0.000 0.000
0.000 0.500 0.500
0.500 0.000 0.500
0.500 0.500 0.000

***

No. 7
Mg3Sc2Hg4, optimized geometry, DFT GGA-PBE; DFT total energy = -2.376 eV per atom; energy relative to the lowest polymorph listed for this composition = 0.0000 eV per atom; formation energy from the elements = -304 meV/atom; space-group type = C2/m
1.0
4.244 -2.446 0.000
4.244 2.446 0.000
-0.025 0.000 9.320
Mg Sc Hg
3 2 4
direct
0.000 0.000 0.000
0.333 0.333 0.431
0.667 0.667 0.569
0.333 0.333 0.788
0.667 0.667 0.212
0.000 0.000 0.334
0.000 0.000 0.666
0.333 0.333 0.107
0.667 0.667 0.893

***

No. 8
TaAlMo2, optimized geometry, DFT GGA-PBE; DFT total energy = -9.424 eV per atom; formation energy from the elements = -110 meV/atom; space-group type = P4/mmm
1.0
4.372 0.000 0.000
0.000 4.372 0.000
0.000 0.000 3.380
Ta Al Mo
1 1 2
direct
0.000 0.000 0.000
0.500 0.500 0.000
0.000 0.500 0.500
0.500 0.000 0.500

***

No. 9
Pu6TcGe3, optimized geometry, DFT GGA-PBE; DFT total energy = -11.110 eV per atom; formation energy from the elements = -89 meV/atom; space-group type = R-3m
1.0
4.868 2.811 5.671
-4.868 2.811 5.671
0.000 -5.621 5.671
Pu Tc Ge
12 2 6
direct
0.133 0.777 0.777
0.152 0.528 0.528
0.223 0.223 0.867
0.223 0.867 0.223
0.472 0.472 0.848
0.472 0.848 0.472
0.528 0.152 0.528
0.528 0.528 0.152
0.777 0.133 0.777
0.777 0.777 0.133
0.848 0.472 0.472
0.867 0.223 0.223
0.000 0.000 0.000
0.500 0.500 0.500
0.152 0.152 0.491
0.152 0.491 0.152
0.491 0.152 0.152
0.509 0.848 0.848
0.848 0.509 0.848
0.848 0.848 0.509

***

No. 10
CaCr2Se, optimized geometry, DFT GGA-PBE; DFT total energy = -6.002 eV per atom; energy relative to the elements, uncorrected = 182 meV per atom; space-group type = F-43m
1.0
0.000 3.450 3.450
3.450 0.000 3.450
3.450 3.450 0.000
Ca Cr Se
1 2 1
direct
0.000 0.000 0.000
0.250 0.250 0.250
0.500 0.500 0.500
0.750 0.750 0.750

***

No. 11
TaAgPd2, optimized geometry, DFT GGA-PBE; DFT total energy = -5.991 eV per atom; energy relative to the lowest polymorph listed for this composition = 0.5326 eV per atom; formation energy from the elements = 282 meV/atom; space-group type = I-42d
1.0
-3.610 3.610 2.802
3.610 -3.610 2.802
3.610 3.610 -2.802
Ta Ag Pd
2 2 4
direct
0.000 0.000 0.000
0.750 0.250 0.500
0.250 0.750 0.500
0.500 0.500 0.000
0.101 0.125 0.476
0.375 0.899 0.024
0.649 0.625 0.524
0.875 0.351 0.976

***

No. 12
InHgAsBr2, optimized geometry, DFT GGA-PBE; DFT total energy = -2.182 eV per atom; energy relative to the elements, uncorrected = 25 meV per atom; energy relative to the lowest polymorph listed for this composition = 0.0000 eV per atom; space-group type = P4/mmm
1.0
5.542 0.000 0.000
0.000 5.542 0.000
0.000 0.000 5.550
In Hg As Br
1 1 1 2
direct
0.000 0.000 0.000
0.500 0.500 0.500
0.000 0.000 0.500
0.000 0.500 0.000
0.500 0.000 0.000